VASP calculation (PBE) on crystalline HfCo3Tc at its relaxed geometry.

The electronic total energy comes out at -7.39 eV per atom. The density of states at the Fermi level is 6.724 states/eV/f.u. For the formation energy from the elements, the calculation gives 0.94 eV/atom. The value obtained for the magnetic moment is 0.000 μB per formula unit. The space-group type is Pm-3m (221). The offset from the most stable computed form comes out at 0.0 kJ per mole of atoms.

```
HfCo3Tc
1.0
4.355 0.000 0.000
0.000 4.355 0.000
0.000 0.000 4.355
Hf Co Tc
1 3 1
direct
0.000 0.000 0.000
0.000 0.500 0.500
0.500 0.000 0.500
0.500 0.500 0.000
0.500 0.500 0.500
```